# Cs2TlCd2

A relaxed structure of Cs2TlCd2 (PBE-GGA, Alexandria).

a b c (Å): 7.427 7.427 6.960
angles (deg): 57.76 57.76 90.00
Atoms (fractional coordinates):
1 Cs 0.750 0.250 0.500
2 Cs 0.250 0.750 0.500
3 Tl 0.000 0.000 0.000
4 Cd 0.340 0.340 0.319
5 Cd 0.660 0.660 0.681

Calculated values
SG ... I4/mmm
Magnetic moment ... 0.00 μB/f.u.
VASP energy ... -1.106 eV per atom
E_form ... 75 meV/atom